1.
Fe3Co4 at its PBEsol-relaxed geometry. Source: the Alexandria database, functional meta-GGA SCAN.

As for the space-group type: R-3m, No. 166. The calculated density comes out at 8.85 Mg/m³. The value obtained for the formation energy is -0.11 eV/atom.

extended XYZ file:
```
7
Lattice="3.946 0.000 0.000 1.973 3.417 0.000 1.973 1.139 5.610" Properties=species:S:1:pos:R:3 pbc="T T T"
Co 1.973 1.139 4.400
Co 5.919 3.417 1.209
Co 3.946 2.278 5.229
Co 3.946 2.278 0.380
Fe 5.919 3.417 3.616
Fe 3.946 2.278 2.805
Fe 1.973 1.139 1.994
```

---

2.
TmPd2Pb at its PBEsol-relaxed geometry. Source: the Alexandria database, functional meta-GGA SCAN.

As for the space-group type: Fm-3m, No. 225. The calculated density comes out at 12.92 Mg/m³. The value obtained for the formation energy is -0.77 eV/atom.

extended XYZ file:
```
4
Lattice="-1.072 -4.372 -1.513 3.343 -3.372 -0.078 -0.189 -3.602 3.089" Properties=species:S:1:pos:R:3 pbc="T T T"
Tm 1.041 -5.673 0.749
Pd 0.520 -2.836 0.375
Pd 1.561 -8.509 1.124
Pb 0.000 0.000 0.000
```

---

3.
InOs2Cl at its PBEsol-relaxed geometry. Source: the Alexandria database, functional meta-GGA SCAN.

As for the space-group type: Immm, No. 71. As for the raw formation energy: 0.901 eV/atom. The calculated density comes out at 14.04 Mg/m³.

extended XYZ file:
```
4
Lattice="2.812 0.000 0.000 0.000 4.932 0.000 -1.406 -2.466 4.527" Properties=species:S:1:pos:R:3 pbc="T T T"
Os 1.406 2.466 2.416
Os 0.000 0.000 2.111
Cl 1.406 0.000 0.000
In 0.000 2.466 0.000
```